1.
Density functional theory data (PBE-GGA) for crystalline TeAsIr at its relaxed geometry.

a b c (Å): 3.0876 3.0876 13.3691
angles (deg): 90.00 90.00 90.00
Fractional coordinates of all 6 atoms:
Te  0.0000  0.0000  0.0000
Te  0.5000  0.5000  0.5000
As  0.0000  0.0000  0.2656
As  0.5000  0.5000  0.7656
Ir  0.0000  0.0000  0.6640
Ir  0.5000  0.5000  0.1640

Results
density of states at the Fermi level: 0.544 states/eV per atom
space-group type: I4mm
crystal system: tetragonal
ΔE_f (raw): 155 meV per atom

=====

2.
Density functional theory data (PBE-GGA) for crystalline Tm2Ge3Ir5 at its relaxed geometry.

a b c (Å): 12.2814 12.2814 6.7324
angles (deg): 90.00 90.00 160.62
Fractional coordinates of all 20 atoms:
Tm  0.0214  0.9786  0.5000
Tm  0.3257  0.6743  0.4845
Tm  0.6743  0.3257  0.9845
Tm  0.9786  0.0214  0.0000
Ge  0.1113  0.8887  0.7638
Ge  0.2662  0.7338  0.9727
Ge  0.4559  0.5441  0.7081
Ge  0.5441  0.4559  0.2081
Ge  0.7338  0.2662  0.4727
Ge  0.8887  0.1113  0.2638
Ir  0.0994  0.9006  0.1536
Ir  0.2060  0.7940  0.2675
Ir  0.2082  0.7918  0.6714
Ir  0.3688  0.6312  0.9512
Ir  0.4436  0.5564  0.3358
Ir  0.5564  0.4436  0.8358
Ir  0.6312  0.3688  0.4512
Ir  0.7918  0.2082  0.1714
Ir  0.7940  0.2060  0.7675
Ir  0.9006  0.0994  0.6536

Results
density of states at the Fermi level: 0.317 states/eV per atom
energy of formation from the pure elements: -0.6208 eV/atom
space-group type: Cmc2_1
crystal system: orthorhombic

=====

3.
Density functional theory data (PBE-GGA) for crystalline MoIrPb2 at its relaxed geometry.

a b c (Å): 3.7672 5.0639 8.4917
angles (deg): 90.00 90.00 90.00
Fractional coordinates of all 8 atoms:
Mo  0.0000  0.0000  0.0000
Mo  0.5000  0.5000  0.0000
Ir  0.0000  0.0000  0.5000
Ir  0.5000  0.5000  0.5000
Pb  0.0000  0.5000  0.2589
Pb  0.0000  0.5000  0.7411
Pb  0.5000  0.0000  0.2589
Pb  0.5000  0.0000  0.7411

Results
density of states at the Fermi level: 0.847 states/eV per atom
energy of formation from the pure elements: 0.8033 eV/atom
space-group type: Cmmm
crystal system: orthorhombic

=====

4.
Density functional theory data (PBE-GGA) for crystalline Sr3Ho2HfAs6 at its relaxed geometry.

a b c (Å): 7.2218 7.2218 7.5225
angles (deg): 99.20 99.20 120.01
Fractional coordinates of all 12 atoms:
Sr  0.0000  0.0000  0.0000
Sr  0.3298  0.6702  0.0000
Sr  0.6702  0.3298  0.0000
Ho  0.1661  0.8339  0.5000
Ho  0.8339  0.1661  0.5000
Hf  0.5000  0.5000  0.5000
As  0.1085  0.4283  0.2843
As  0.2538  0.2538  0.7175
As  0.4283  0.1085  0.2843
As  0.5717  0.8915  0.7157
As  0.7462  0.7462  0.2825
As  0.8915  0.5717  0.7157

Results
density of states at the Fermi level: 0.591 states/eV per atom
energy of formation from the pure elements: -1.1706 eV/atom
space-group type: C2/m
crystal system: monoclinic

=====

5.
Density functional theory data (PBE-GGA) for crystalline La4OsBr2N at its relaxed geometry.

a b c (Å): 6.8148 4.1163 8.0642
angles (deg): 90.00 106.24 90.00
Fractional coordinates of all 8 atoms:
La  0.2257  0.0000  0.1852
La  0.2313  0.5000  0.8096
La  0.7687  0.5000  0.1904
La  0.7743  0.0000  0.8148
Os  0.5000  0.0000  0.0000
Br  0.0000  0.0000  0.5000
Br  0.5000  0.5000  0.5000
N  0.0000  0.5000  0.0000

Results
density of states at the Fermi level: 0.702 states/eV per atom
space-group type: P2/m
crystal system: monoclinic
ΔE_f (raw): -1097 meV per atom

=====

6.
Density functional theory data (PBE-GGA) for crystalline KLa2 at its relaxed geometry.

a b c (Å): 7.2708 7.2708 12.1487
angles (deg): 90.00 90.00 120.00
Fractional coordinates of all 12 atoms:
K  0.3333  0.6667  0.0603
K  0.3333  0.6667  0.4397
K  0.6667  0.3333  0.5603
K  0.6667  0.3333  0.9397
La  0.0000  0.0000  0.0000
La  0.0000  0.0000  0.5000
La  0.1560  0.3119  0.7500
La  0.1560  0.8440  0.7500
La  0.3119  0.1560  0.2500
La  0.6881  0.8440  0.7500
La  0.8440  0.1560  0.2500
La  0.8440  0.6881  0.2500

Results
density of states at the Fermi level: 1.860 states/eV per atom
energy of formation from the pure elements: 0.4687 eV/atom
space-group type: P6_3/mmc
crystal system: hexagonal

=====

7.
Density functional theory data (PBE-GGA) for crystalline Bi2Cl2O at its relaxed geometry.

a b c (Å): 3.4861 3.4861 12.4824
angles (deg): 90.00 90.00 90.00
Fractional coordinates of all 5 atoms:
Bi  0.0000  0.0000  0.1724
Bi  0.0000  0.0000  0.8276
Cl  0.0000  0.0000  0.3758
Cl  0.0000  0.0000  0.6242
O  0.0000  0.0000  0.0000

Results
density of states at the Fermi level: 0.760 states/eV per atom
space-group type: P4/mmm
crystal system: tetragonal
ΔE_f (raw): -243 meV per atom

=====

8.
Density functional theory data (PBE-GGA) for crystalline LiGaHgSb2 at its relaxed geometry.

a b c (Å): 5.6690 5.6690 5.2921
angles (deg): 90.00 90.00 90.00
Fractional coordinates of all 5 atoms:
Li  0.0000  0.0000  0.0000
Ga  0.5000  0.5000  0.0000
Hg  0.5000  0.5000  0.5000
Sb  0.0000  0.5000  0.5000
Sb  0.5000  0.0000  0.5000

Results
density of states at the Fermi level: 0.666 states/eV per atom
space-group type: P4/mmm
crystal system: tetragonal
ΔE_f (raw): 443 meV per atom

=====

9.
Density functional theory data (PBE-GGA) for crystalline BeTeI2Cl at its relaxed geometry.

a b c (Å): 5.1515 5.1515 5.1912
angles (deg): 90.00 90.00 90.00
Fractional coordinates of all 5 atoms:
Be  0.0000  0.0000  0.0000
Te  0.0000  0.0000  0.5000
I  0.0000  0.5000  0.0000
I  0.5000  0.0000  0.0000
Cl  0.5000  0.5000  0.5000

Results
density of states at the Fermi level: 1.010 states/eV per atom
space-group type: P4/mmm
crystal system: tetragonal
ΔE_f (raw): 253 meV per atom

=====

10.
Density functional theory data (PBE-GGA) for crystalline K3Ag8Hg at its relaxed geometry.

a b c (Å): 10.1527 10.1527 10.1527
angles (deg): 33.43 33.43 33.43
Fractional coordinates of all 12 atoms:
K  0.0000  0.0000  0.0000
K  0.1275  0.1275  0.1275
K  0.5064  0.5064  0.5064
Ag  0.0609  0.5644  0.5644
Ag  0.0662  0.0662  0.5664
Ag  0.0662  0.5664  0.0662
Ag  0.3146  0.3146  0.3146
Ag  0.5644  0.0609  0.5644
Ag  0.5644  0.5644  0.0609
Ag  0.5664  0.0662  0.0662
Ag  0.8150  0.8150  0.8150
Hg  0.6314  0.6314  0.6314

Results
density of states at the Fermi level: 0.446 states/eV per atom
energy of formation from the pure elements: 0.0163 eV/atom
space-group type: R3m
crystal system: trigonal

=====

11.
Density functional theory data (PBE-GGA) for crystalline HfMgBi2 at its relaxed geometry.

a b c (Å): 4.2745 4.2745 21.5898
angles (deg): 90.00 90.00 120.00
Fractional coordinates of all 12 atoms:
Hf  0.0000  0.0000  0.0000
Hf  0.3333  0.6667  0.6667
Hf  0.6667  0.3333  0.3333
Mg  0.0000  0.0000  0.1657
Mg  0.3333  0.6667  0.8324
Mg  0.6667  0.3333  0.4991
Bi  0.0000  0.0000  0.4126
Bi  0.0000  0.0000  0.5861
Bi  0.3333  0.6667  0.0793
Bi  0.3333  0.6667  0.2528
Bi  0.6667  0.3333  0.7460
Bi  0.6667  0.3333  0.9195

Results
density of states at the Fermi level: 0.417 states/eV per atom
energy of formation from the pure elements: -0.0319 eV/atom
space-group type: R3m
crystal system: trigonal

=====

12.
Density functional theory data (PBE-GGA) for crystalline NdMgAs2Pd5 at its relaxed geometry.

a b c (Å): 4.3689 4.3689 8.7935
angles (deg): 90.00 90.00 90.00
Fractional coordinates of all 9 atoms:
Nd  0.0000  0.0000  0.0000
Mg  0.0000  0.0000  0.5000
As  0.5000  0.5000  0.3617
As  0.5000  0.5000  0.6383
Pd  0.0000  0.5000  0.2357
Pd  0.0000  0.5000  0.7643
Pd  0.5000  0.0000  0.2357
Pd  0.5000  0.0000  0.7643
Pd  0.5000  0.5000  0.0000

Results
density of states at the Fermi level: 0.319 states/eV per atom
energy of formation from the pure elements: -0.5760 eV/atom
space-group type: P4/mmm
crystal system: tetragonal